(1)
A plane-wave DFT calculation with PBE was carried out for an optimized crystal structure of DyY2Co2.

Lattice parameters (Å, degrees): 6.1107 6.1107 7.3127 100.52 100.52 57.02
Closest atoms and distances in Å follow each position.
Element x y z (fractional)
Dy 0.0898 0.9102 0.7500  4 Co 2.69-2.74
Dy 0.9102 0.0898 0.2500  4 Co 2.69-2.74
Y 0.2270 0.4579 0.3493  4 Co 2.79-2.98
Y 0.4579 0.2270 0.8493  4 Co 2.79-2.98
Y 0.5421 0.7730 0.1507  4 Co 2.79-2.98
Y 0.7730 0.5421 0.6507  4 Co 2.79-2.98
Co 0.0196 0.3093 0.0122  1 Co 2.25
Co 0.3093 0.0196 0.5122  1 Co 2.25
Co 0.6907 0.9804 0.4878  1 Co 2.25
Co 0.9804 0.6907 0.9878  1 Co 2.25

Summary:
The value obtained for the polymorph energy (0 for the lowest one) is 0 meV per atom. For the energy relative to the elements, the calculation gives -0.169 eV per atom. Its magnetic moment is 0.0 μB/f.u. As for the density of states at the Fermi level: 4.0 states/eV/f.u. The crystal system is monoclinic.

(2)
A plane-wave DFT calculation with PBE was carried out for an optimized crystal structure of DyYCo2.

Lattice parameters (Å, degrees): 4.7269 4.7269 3.3569 90.00 90.00 90.00
Closest atoms and distances in Å follow each position.
Element x y z (fractional)
Dy 0.0000 0.0000 0.0000  8 Co 2.90
Y 0.5000 0.5000 0.0000  8 Co 2.90
Co 0.0000 0.5000 0.5000  4 Dy 2.90, 4 Y 2.90
Co 0.5000 0.0000 0.5000  4 Dy 2.90, 4 Y 2.90

Summary:
The value obtained for the polymorph energy (0 for the lowest one) is 69 meV per atom. For the energy relative to the elements, the calculation gives -0.131 eV per atom. Its magnetic moment is 0.8 μB/f.u. As for the density of states at the Fermi level: 1.5 states/eV/f.u. The crystal system is tetragonal.

(3)
A plane-wave DFT calculation with PBE was carried out for an optimized crystal structure of Dy4YCo.

Lattice parameters (Å, degrees): 6.2183 6.2183 8.2999 109.59 109.59 33.29
Closest atoms and distances in Å follow each position.
Element x y z (fractional)
Dy 0.1257 0.1257 0.3791  2 Co 2.73
Dy 0.1702 0.1702 0.7941  2 Co 3.13, 2 Dy 3.30-3.31
Dy 0.8298 0.8298 0.2059  2 Co 3.13, 2 Dy 3.30-3.31
Dy 0.8743 0.8743 0.6209  2 Co 2.73
Y 0.5000 0.5000 0.0000  10 Dy 3.47-3.70, 2 Y 3.56
Co 0.5000 0.5000 0.5000  4 Dy 2.73

Summary:
For the energy relative to the elements, the calculation gives -0.031 eV per atom. Its magnetic moment is 0.0 μB/f.u. As for the density of states at the Fermi level: 8.2 states/eV/f.u. The crystal system is monoclinic.

(4)
A plane-wave DFT calculation with PBE was carried out for an optimized crystal structure of Dy3Y3Co4.

Lattice parameters (Å, degrees): 4.2059 7.1843 7.1843 90.03 90.00 90.00
Closest atoms and distances in Å follow each position.
Element x y z (fractional)
Dy 0.0000 0.0000 0.0000  6 Co 2.95-3.03
Dy 0.5000 0.3269 0.8273  4 Co 2.89-2.92
Dy 0.5000 0.8273 0.3269  4 Co 2.89-2.92
Y 0.0000 0.1540 0.5003  6 Co 2.96-3.04
Y 0.0000 0.5003 0.1540  6 Co 2.96-3.04
Y 0.0000 0.6541 0.6541  6 Co 2.97-3.05
Co 0.5000 0.2148 0.2148  1 Co 2.26
Co 0.5000 0.4372 0.4372  1 Co 2.26
Co 0.5000 0.7179 0.9394  1 Co 2.25
Co 0.5000 0.9394 0.7179  1 Co 2.25

Summary:
For the energy relative to the elements, the calculation gives -0.141 eV per atom. Its magnetic moment is 0.0 μB/f.u. As for the density of states at the Fermi level: 6.4 states/eV/f.u. The crystal system is orthorhombic.